9
Lattice="4.5317 0.0000 0.0000 0.0000 6.2545 3.5914 0.0000 -6.2545 3.5914" Properties=species:S:1:pos:R:3 comment="DyEr2Tl2Zn3Cd (PBE-GGA, relaxed)" magmom_total_mub_per_fu=0.0 spacegroup="Amm2, No. 38" final_energy_ev_per_atom=-2.864 pbc="T T T"
Dy 0.0000 0.0000 0.0000
Er 0.0000 -2.7001 4.6443
Er 0.0000 2.7001 4.6443
Tl 2.2658 -4.1588 3.0955
Tl 2.2658 4.1588 3.0955
Zn 2.2658 -1.4375 2.2707
Zn 2.2658 1.4375 2.2707
Zn 2.2658 0.0000 4.7598
Cd 0.0000 0.0000 3.1160